# YBeRe2Tc PBE-GGA relaxed
# V	81.2	Å³ per cell
# raw total energy	-8.54	eV/atom
# total magnetic moment	0.00	μB per cell
# ΔE_f	0.550	eV/atom
data_YBeRe2Tc
_cell_length_a 4.317
_cell_length_b 4.317
_cell_length_c 4.356
_cell_angle_alpha 90.00
_cell_angle_beta 90.00
_cell_angle_gamma 90.00
_space_group_name_H-M_alt 'P 4/m m m'
_space_group_IT_number 123
_space_group_name_Hall '-P 4 2'
loop_
_atom_site_label
_atom_site_fract_x
_atom_site_fract_y
_atom_site_fract_z
_atom_site_occupancy
Y1 0.000 0.000 0.000 1
Be1 0.500 0.500 0.500 1
Re1 0.000 0.500 0.500 1
Tc1 0.500 0.500 0.000 1

---

# YV3Cu PBE-GGA relaxed
# V	97.6	Å³ per cell
# raw total energy	-6.65	eV/atom
# total magnetic moment	5.79	μB per cell
# ΔE_f	0.931	eV/atom
# energy above the most stable polymorph in this dataset	0.000	eV per atom
data_YV3Cu
_cell_length_a 4.605
_cell_length_b 4.605
_cell_length_c 4.605
_cell_angle_alpha 90.00
_cell_angle_beta 90.00
_cell_angle_gamma 90.00
_space_group_name_H-M_alt 'P m -3 m'
_space_group_IT_number 221
_space_group_name_Hall '-P 4 2 3'
loop_
_atom_site_label
_atom_site_fract_x
_atom_site_fract_y
_atom_site_fract_z
_atom_site_occupancy
Y1 0.000 0.000 0.000 1
V1 0.000 0.500 0.500 1
Cu1 0.500 0.500 0.500 1

---

# AlSCl PBE-GGA relaxed
# V	338.4	Å³ per cell
# uncorrected formation energy	-1.279	eV/atom
# raw total energy	-4.52	eV/atom
# total magnetic moment	0.00	μB per cell
data_AlSCl
_cell_length_a 6.520
_cell_length_b 8.588
_cell_length_c 6.044
_cell_angle_alpha 90.00
_cell_angle_beta 90.00
_cell_angle_gamma 90.00
_space_group_name_H-M_alt 'P c a 21'
_space_group_IT_number 29
loop_
_space_group_symop_operation_xyz
'x,y,z'
'-x,-y,z+1/2'
'-x+1/2,y,z+1/2'
'x+1/2,-y,z'
loop_
_atom_site_label
_atom_site_fract_x
_atom_site_fract_y
_atom_site_fract_z
_atom_site_occupancy
Al1 0.081 0.118 0.000 1
S1 0.084 0.104 0.618 1
Cl1 0.044 0.669 0.602 1

---

# YBe2 PBE-GGA relaxed
# V	99.2	Å³ per cell
# raw total energy	-4.35	eV/atom
# total magnetic moment	0.00	μB per cell
# ΔE_f	0.288	eV/atom
data_YBe2
_cell_length_a 4.5352
_cell_length_b 4.5352
_cell_length_c 5.5708
_cell_angle_alpha 90.00
_cell_angle_beta 90.00
_cell_angle_gamma 120.00
_space_group_name_H-M_alt 'P 63/m m c'
_space_group_IT_number 194
_space_group_name_Hall '-P 6c 2c'
loop_
_atom_site_label
_atom_site_fract_x
_atom_site_fract_y
_atom_site_fract_z
_atom_site_occupancy
Y1 0.3333 0.6667 0.2500 1
Be1 0.0000 0.0000 0.0000 1
Be2 0.3333 0.6667 0.7500 1